The following is a DFT calculation (GGA-PBE) of crystalline NiSb2IrW at its relaxed geometry.

```
NiSb2IrW
1.0
-3.024 0.833 3.955
-2.042 -4.030 -0.712
3.355 -2.236 3.036
Sb Ir W Ni
2 1 1 1
Direct
0.000 0.000 0.500 Sb
0.500 0.000 0.000 Sb
0.000 0.000 0.000 Ir
0.500 0.500 0.500 W
0.000 0.500 0.000 Ni
```

Results
Final energy (eV per atom): -5.7283
Space-group type: P4/mmm
Formation energy (no corrections) (eV/atom): 1.440

=====

The following is a DFT calculation (GGA-PBE) of crystalline Hf2ZrAlN at its relaxed geometry.

```
Hf2ZrAlN
1.0
-3.386 0.762 -2.601
-2.710 -0.926 3.257
0.018 4.464 1.285
Hf Al Zr N
2 1 1 1
Direct
0.000 0.500 0.000 Hf
0.500 0.000 0.000 Hf
0.500 0.500 0.500 Al
0.000 0.000 0.500 Zr
0.000 0.000 0.000 N
```

Results
Final energy (eV per atom): -8.9449
Space-group type: P4/mmm
Formation energy (no corrections) (eV/atom): -0.840

=====

The following is a DFT calculation (GGA-PBE) of crystalline ZrMnCo2Tc at its relaxed geometry.

```
ZrMnCo2Tc
1.0
4.213 0.000 0.000
0.000 4.388 0.000
0.000 0.000 4.213
Mn Co Tc Zr
1 2 1 1
Direct
0.000 0.000 0.000 Mn
0.000 0.000 0.500 Co
0.500 0.000 0.000 Co
0.000 0.500 0.000 Tc
0.500 0.500 0.500 Zr
```

Results
Final energy (eV per atom): -7.8297
Space-group type: P4/mmm
Energy of formation (eV/atom): 0.6294

=====

The following is a DFT calculation (GGA-PBE) of crystalline InTcBr2 at its relaxed geometry.

```
InTcBr2
1.0
3.336 0.000 0.000
0.000 4.295 0.079
0.000 2.405 7.624
Tc Br In
1 2 1
Direct
0.500 0.994 0.666 Tc
0.000 0.848 0.917 Br
0.500 0.119 0.329 Br
0.000 0.539 0.587 In
```

Results
Final energy (eV per atom): -4.1843
Space-group type: Pm
Relative energy among the computed polymorphs (meV per atom): 0
Formation energy (no corrections) (eV/atom): -0.072

=====

The following is a DFT calculation (GGA-PBE) of crystalline Ca2PuO4 at its relaxed geometry.

```
Ca2PuO4
1.0
3.480 0.000 0.000
0.000 5.838 0.000
0.000 0.000 10.027
Ca Pu O
4 2 8
Direct
0.500 0.938 0.821 Ca
0.500 0.062 0.179 Ca
0.500 0.438 0.679 Ca
0.500 0.562 0.321 Ca
0.000 0.000 0.500 Pu
0.000 0.500 0.000 Pu
0.000 0.648 0.800 O
0.000 0.352 0.200 O
0.000 0.148 0.700 O
0.000 0.852 0.300 O
0.500 0.761 0.542 O
0.500 0.239 0.458 O
0.500 0.739 0.042 O
0.500 0.261 0.958 O
```

Results
Final energy (eV per atom): -8.4714
Space-group type: Pbam
Relative energy among the computed polymorphs (meV per atom): 0
Formation energy (no corrections) (eV/atom): -3.019

=====

The following is a DFT calculation (GGA-PBE) of crystalline FeTcAg at its relaxed geometry.

```
FeTcAg
1.0
2.724 0.000 0.000
-1.362 2.359 0.000
0.000 0.000 6.798
Ag Fe Tc
1 1 1
Direct
0.000 0.000 0.010 Ag
0.667 0.333 0.353 Fe
0.333 0.667 0.637 Tc
```

Results
Final energy (eV per atom): -6.8625
Space-group type: P3m1
Energy of formation (eV/atom): 0.3641
Relative energy among the computed polymorphs (meV per atom): 3